# 1
Material: Cd3Hg2
Method: DFT, PBE
State: relaxed

The calculation puts the energy of formation at 0.5 kcal/mol of atoms. Its energy above the lowest structure with this stoichiometry is 0.001 eV/atom. The density of states at the Fermi level is 0.33 states/eV/atom. For the calculated total energy, the calculation gives -6.47 eV/cell. Its space group is Cmcm.

```
10
Lattice="5.378 0.000 0.000 0.000 5.220 0.000 0.000 -2.610 8.400" Properties=species:S:1:pos:R:3 pbc="T T T"
Hg 4.034 4.326 1.701
Hg 1.345 -1.717 6.699
Hg 4.034 1.717 6.699
Hg 1.345 0.893 1.701
Cd 1.345 0.860 5.018
Cd 4.034 -0.860 5.018
Cd 4.034 1.721 0.000
Cd 4.034 1.750 3.382
Cd 1.345 3.469 3.382
Cd 1.345 3.498 0.000
```


# 2
Material: AcSb2Mo
Method: DFT, PBE
State: relaxed

Its energy above the lowest structure with this stoichiometry is 0.000 eV/atom. The density of states at the Fermi level is 0.63 states/eV/atom. The uncorrected formation energy comes out at -0.1729 eV/atom. For the calculated total energy, the calculation gives -23.88 eV/cell. Its space group is P4/mmm.

```
4
Lattice="-3.430 -0.347 -0.769 0.789 -0.179 -3.438 0.675 -7.935 0.569" Properties=species:S:1:pos:R:3 pbc="T T T"
Ac -0.983 -4.231 -1.819
Mo -1.320 -0.263 -2.103
Sb 0.132 -1.552 0.111
Sb 0.543 -6.383 0.458
```